ZrBe5 at its PBEsol-relaxed geometry, computed with SCAN.

Lattice parameters (Å, degrees): 4.5344 4.5344 3.4427 90.00 90.00 120.00
Space group P6/mmm (No. 191)
Asymmetric unit:
Zr1 0.0000 0.0000 0.0000
Be1 0.0000 0.5000 0.5000
Be2 0.3333 0.6667 0.0000

energy of formation from the pure elements	-1.4	eV per formula unit



Zr4Be at its PBEsol-relaxed geometry, computed with SCAN.

Lattice parameters (Å, degrees): 3.8602 3.8602 14.4613 90.00 90.00 90.00
Space group I4/mmm (No. 139)
Asymmetric unit:
Zr1 0.0000 0.0000 0.0848
Zr2 0.0000 0.5000 0.2500
Be1 0.0000 0.0000 0.5000

energy of formation from the pure elements	3.7	eV per formula unit